(1)
Entry from the Alexandria database: a relaxed structure of Na5In2F12 (PBE).

Summary:
For the uncorrected formation energy, the calculation gives -46.54 eV per formula unit.

Unit cell a=7.5081 b=7.0638 c=7.0638 alpha=65.66 beta=59.69 gamma=59.69
Last column: nearest neighbours and their distance in Å.
Element x y z (fractional)
Na  0.5162  0.6943  0.6943  4 F 2.21-2.32
Na  0.0218  0.2468  0.2468  6 F 2.23-2.48
Na  0.5000  0.0000  0.0000  4 F 2.26
F  0.7753  0.1342  0.7715  1 In 2.13, 2 Na 2.26-2.35
F  0.8496  0.4789  0.4789  2 Na 2.23-2.26, 2 In 2.33
F  0.2247  0.8658  0.2285  1 In 2.13, 2 Na 2.26-2.35
F  0.1504  0.5211  0.5211  2 Na 2.23-2.26, 2 In 2.33
F  0.2574  0.4644  0.1041  1 In 2.16, 1 Na 2.32
F  0.1542  0.8634  0.8634  2 Na 2.21-2.35, 2 In 2.30
In  0.0000  0.7527  0.2473  8 F 2.13-2.33
F  0.2574  0.1041  0.4644  1 In 2.16, 1 Na 2.32
F  0.7426  0.8959  0.5356  1 In 2.16, 1 Na 2.32
Na  0.4838  0.3057  0.3057  4 F 2.21-2.32
Na  0.9782  0.7532  0.7532  6 F 2.23-2.48
F  0.8458  0.1366  0.1366  2 Na 2.21-2.35, 2 In 2.30
In  0.0000  0.2473  0.7527  8 F 2.13-2.33
F  0.2247  0.2285  0.8658  1 In 2.13, 2 Na 2.26-2.35
F  0.7753  0.7715  0.1342  1 In 2.13, 2 Na 2.26-2.35
F  0.7426  0.5356  0.8959  1 In 2.16, 1 Na 2.32

---

(2)
Entry from the Alexandria database: a relaxed structure of CeScTl (PBE).

Summary:
For the energy above the lowest structure with this stoichiometry, the calculation gives 282.4 meV per atom. Its formation energy is 0.06 eV/atom.

Unit cell a=3.1843 b=5.2622 c=5.2622 alpha=120.00 beta=90.00 gamma=90.00
Last column: nearest neighbours and their distance in Å.
Element x y z (fractional)
Ce  0.1672  0.0000  0.0000  3 Sc 3.04, 2 Ce 3.18
Tl  0.6670  0.3333  0.6667  2 Tl 3.18, 6 Sc 3.43, 6 Ce 3.43
Sc  0.1658  0.6667  0.3333  3 Ce 3.04, 2 Sc 3.18

---

(3)
Entry from the Alexandria database: a relaxed structure of ZrZnPd3 (PBE).

Summary:
For the energy above the lowest structure with this stoichiometry, the calculation gives 1257.2 meV per atom. Its formation energy is 0.70 eV/atom.

Unit cell a=4.9190 b=4.9190 c=4.9190 alpha=90.00 beta=90.00 gamma=90.00
Last column: nearest neighbours and their distance in Å.
Element x y z (fractional)
Zn  0.5000  0.5000  0.5000  12 Pd 3.48
Pd  0.0000  0.5000  0.0000  2 Zr 2.46
Pd  0.0000  0.0000  0.5000  2 Zr 2.46
Pd  0.5000  0.0000  0.0000  2 Zr 2.46
Zr  0.0000  0.0000  0.0000  6 Pd 2.46

---

(4)
Entry from the Alexandria database: a relaxed structure of Dy6Mn2Tl (PBE).

Summary:
Its formation energy is -0.06 eV/atom.

Unit cell a=8.4470 b=8.4470 c=8.4470 alpha=107.56 beta=109.71 gamma=111.17
Last column: nearest neighbours and their distance in Å.
Element x y z (fractional)
Dy  0.7071  0.3954  0.6883  3 Mn 2.86-2.93
Dy  0.7809  0.7710  0.5519  1 Mn 2.82, 1 Tl 3.12
Dy  0.2191  0.7710  0.9901  1 Mn 2.82, 1 Tl 3.12
Dy  0.2929  0.6046  0.3117  3 Mn 2.86-2.93
Mn  0.3891  0.0000  0.3891  1 Mn 2.16
Dy  0.5210  0.7122  0.8089  2 Mn 2.94
Tl  0.0000  0.0000  0.0000  8 Dy 3.12-3.32
Mn  0.5000  0.6049  0.1049  1 Mn 2.09
Dy  0.7071  0.0187  0.3117  3 Mn 2.86-2.93
Dy  0.9033  0.7122  0.1911  2 Mn 2.94
Mn  0.6109  0.0000  0.6109  1 Mn 2.16
Dy  0.0967  0.2878  0.8089  2 Mn 2.94
Dy  0.4790  0.2878  0.1911  2 Mn 2.94
Mn  0.5000  0.3951  0.8951  1 Mn 2.09
Dy  0.2929  0.9813  0.6883  3 Mn 2.86-2.93
Tl  0.0000  0.5000  0.5000  12 Dy 3.37-3.62
Dy  0.7809  0.2290  0.0099  1 Mn 2.82, 1 Tl 3.12
Dy  0.2191  0.2290  0.4481  1 Mn 2.82, 1 Tl 3.12

---

(5)
Entry from the Alexandria database: a relaxed structure of KBa2Zr (PBE).

Summary:
For the energy above the lowest structure with this stoichiometry, the calculation gives 197.8 meV per atom. Its formation energy is 0.65 eV/atom.

Unit cell a=7.4529 b=7.4529 c=6.9147 alpha=74.93 beta=74.93 gamma=30.43
Last column: nearest neighbours and their distance in Å.
Element x y z (fractional)
Ba  0.9711  0.9711  0.0632  2 Zr 3.67, 2 Ba 3.91, 2 K 3.93
Zr  0.2471  0.2471  0.2042  6 Ba 3.67-4.09, 2 K 3.86, 2 Zr 3.91
Ba  0.7563  0.7563  0.7183  4 Zr 3.86-4.09, 2 Ba 3.91, 3 K 3.94-4.23
K  0.5255  0.5255  0.5143  2 Zr 3.86, 2 K 3.91, 7 Ba 3.93-4.23

---

(6)
Entry from the Alexandria database: a relaxed structure of Y3AgSe2 (PBE).

Summary:
For the uncorrected formation energy, the calculation gives -6.13 eV per formula unit.

Unit cell a=4.3152 b=6.9522 c=11.1325 alpha=90.00 beta=90.00 gamma=108.08
Last column: nearest neighbours and their distance in Å.
Element x y z (fractional)
Ag  0.7583  0.5166  0.7500  2 Y 2.98
Ag  0.2417  0.4834  0.2500  2 Y 2.98
Se  0.0000  0.0000  0.0000  6 Y 2.94-3.10
Y  0.6470  0.2940  0.0437  3 Se 2.77-2.94
Se  0.0000  0.0000  0.5000  6 Y 2.94-3.10
Y  0.8976  0.7951  0.2500  4 Se 2.77-3.10, 2 Ag 2.98
Y  0.3530  0.7060  0.9563  3 Se 2.77-2.94
Y  0.3530  0.7060  0.5437  3 Se 2.77-2.94
Y  0.1024  0.2049  0.7500  4 Se 2.77-3.10, 2 Ag 2.98
Y  0.6470  0.2940  0.4563  3 Se 2.77-2.94
Se  0.5294  0.0588  0.2500  4 Y 2.77
Se  0.4706  0.9412  0.7500  4 Y 2.77

---

(7)
Entry from the Alexandria database: a relaxed structure of YSbW2 (PBE).

Summary:
For the uncorrected formation energy, the calculation gives 1.33 eV per formula unit.

Unit cell a=5.5585 b=5.5585 c=5.5585 alpha=141.72 beta=129.00 gamma=65.52
Last column: nearest neighbours and their distance in Å.
Element x y z (fractional)
Y  0.5074  0.5074  0.0000  8 W 3.02-3.21, 4 Sb 3.14-3.20
Sb  0.2344  0.7344  0.5000  8 W 3.00-3.32, 4 Y 3.14-3.20
W  0.9801  0.9801  0.0000  2 W 2.62
W  0.7782  0.2782  0.5000  2 W 2.62

---

(8)
Entry from the Alexandria database: a relaxed structure of MgBiTeI2 (PBE).

Summary:
For the uncorrected formation energy, the calculation gives -0.51 eV per formula unit. For the energy above the lowest structure with this stoichiometry, the calculation gives 0.0 meV per atom.

Unit cell a=5.4669 b=5.4669 c=5.8327 alpha=90.00 beta=90.00 gamma=90.00
Last column: nearest neighbours and their distance in Å.
Element x y z (fractional)
Mg  0.0000  0.0000  0.0000  4 I 2.73, 2 Te 2.92
Bi  0.5000  0.5000  0.5000  4 Te 3.87, 8 I 4.00
Te  0.0000  0.0000  0.5000  2 Mg 2.92
I  0.5000  0.0000  0.0000  2 Mg 2.73
I  0.0000  0.5000  0.0000  2 Mg 2.73

---

(9)
Entry from the Alexandria database: a relaxed structure of InRe2Br (PBE).

Summary:
For the uncorrected formation energy, the calculation gives 1.11 eV per formula unit. For the energy above the lowest structure with this stoichiometry, the calculation gives 0.0 meV per atom.

Unit cell a=3.0714 b=3.1123 c=8.3998 alpha=79.63 beta=90.00 gamma=90.00
Last column: nearest neighbours and their distance in Å.
Element x y z (fractional)
Br  0.0000  0.3348  0.4639  2 Re 2.62
Re  0.0000  0.0437  0.0351  4 Re 2.61
In  0.5000  0.6614  0.7942  4 Re 2.96, 4 In 3.07-3.11
Re  0.5000  0.4601  0.2067  4 Re 2.61, 2 Br 2.62

---

(10)
Entry from the Alexandria database: a relaxed structure of Ac2La3Nd2 (PBE).

Summary:
For the energy above the lowest structure with this stoichiometry, the calculation gives 0.0 meV per atom. Its formation energy is 0.12 eV/atom.

Unit cell a=3.7167 b=9.0347 c=9.4786 alpha=118.40 beta=101.31 gamma=90.00
Last column: nearest neighbours and their distance in Å.
Element x y z (fractional)
Ac  0.5660  0.9035  0.1320  3 Ac 3.63-3.72, 5 La 3.64-3.84, 4 Nd 3.95-3.99
Nd  0.8491  0.6579  0.6981  4 La 3.66-3.76, 4 Nd 3.72-3.87, 4 Ac 3.95-3.99
La  0.2152  0.7949  0.4304  5 La 3.57-3.77, 3 Ac 3.64-3.84, 3 Nd 3.66-3.76
La  0.0000  0.5000  0.0000  4 La 3.57-3.72, 2 Nd 3.71, 4 Ac 3.73
Ac  0.4340  0.0965  0.8680  3 Ac 3.63-3.72, 5 La 3.64-3.84, 4 Nd 3.95-3.99
La  0.7848  0.2051  0.5696  5 La 3.57-3.77, 3 Ac 3.64-3.84, 3 Nd 3.66-3.76
Nd  0.1509  0.3421  0.3019  4 La 3.66-3.76, 4 Nd 3.72-3.87, 4 Ac 3.95-3.99

---

(11)
Entry from the Alexandria database: a relaxed structure of Ac8AsIr4 (PBE).

Summary:
Its formation energy is -0.62 eV/atom.

Unit cell a=4.4507 b=11.0445 c=10.9517 alpha=81.13 beta=78.28 gamma=78.38
Last column: nearest neighbours and their distance in Å.
Element x y z (fractional)
Ir  0.3557  0.4473  0.8412  6 Ac 2.95-3.09
Ac  0.1647  0.6548  0.0158  3 Ir 3.09-3.12, 2 As 3.18
As  0.6597  0.8187  0.8619  5 Ac 3.18-3.22
Ac  0.1289  0.4065  0.3358  3 Ir 2.94-2.97
Ac  0.5388  0.2562  0.6661  3 Ir 2.95-2.97
Ac  0.7815  0.0727  0.3643  3 Ir 2.97-3.02
Ac  0.8319  0.3348  0.0014  3 Ir 2.98-3.00
Ir  0.6458  0.5224  0.1860  6 Ac 2.94-3.12
Ac  0.2148  0.9122  0.6581  3 Ir 3.06-3.13, 2 As 3.20
Ac  0.8574  0.5896  0.6956  3 Ir 3.03-3.07, 1 As 3.22
Ir  0.8479  0.8132  0.4909  6 Ac 2.91-3.13
Ac  0.4611  0.7304  0.3473  3 Ir 2.91-3.00
Ir  0.1568  0.1736  0.5128  6 Ac 2.97-3.06

---

(12)
Entry from the Alexandria database: a relaxed structure of PuZn9Ni2 (PBE).

Summary:
For the energy above the lowest structure with this stoichiometry, the calculation gives 0.0 meV per atom. Its formation energy is -0.19 eV/atom.

Unit cell a=6.7605 b=8.0885 c=8.0885 alpha=79.94 beta=65.30 gamma=65.30
Last column: nearest neighbours and their distance in Å.
Element x y z (fractional)
Zn  0.7362  0.8248  0.5819  2 Ni 2.52-2.54, 7 Zn 2.52-2.81
Zn  0.4390  0.8248  0.4181  2 Ni 2.52-2.54, 7 Zn 2.52-2.81
Zn  0.6071  0.0819  0.3248  2 Ni 2.52-2.54, 7 Zn 2.52-2.81
Zn  0.0000  0.0000  0.0000  4 Ni 2.73, 8 Zn 2.78
Ni  0.3750  0.7500  0.7500  10 Zn 2.52-2.73
Zn  0.0681  0.3248  0.9181  2 Ni 2.52-2.54, 7 Zn 2.52-2.81
Zn  0.6819  0.5819  0.1752  2 Ni 2.52-2.54, 7 Zn 2.52-2.81
Ni  0.8750  0.7500  0.2500  10 Zn 2.52-2.73
Zn  0.3110  0.6752  0.0819  2 Ni 2.52-2.54, 7 Zn 2.52-2.81
Zn  0.6071  0.3248  0.0819  2 Ni 2.52-2.54, 7 Zn 2.52-2.81
Zn  0.3110  0.0819  0.6752  2 Ni 2.52-2.54, 7 Zn 2.52-2.81
Pu  0.5000  0.0000  0.0000  18 Zn 3.23-3.38
Pu  0.2500  0.5000  0.5000  18 Zn 3.23-3.38
Zn  0.1429  0.4181  0.1752  2 Ni 2.52-2.54, 7 Zn 2.52-2.81
Zn  0.0138  0.9181  0.6752  2 Ni 2.52-2.54, 7 Zn 2.52-2.81
Zn  0.1429  0.1752  0.4181  2 Ni 2.52-2.54, 7 Zn 2.52-2.81
Ni  0.8750  0.2500  0.2500  10 Zn 2.52-2.73
Zn  0.0138  0.6752  0.9181  2 Ni 2.52-2.54, 7 Zn 2.52-2.81
Zn  0.7500  0.5000  0.5000  4 Ni 2.73, 8 Zn 2.78
Zn  0.4390  0.4181  0.8248  2 Ni 2.52-2.54, 7 Zn 2.52-2.81
Ni  0.8750  0.2500  0.7500  10 Zn 2.52-2.73
Zn  0.0681  0.9181  0.3248  2 Ni 2.52-2.54, 7 Zn 2.52-2.81
Zn  0.6819  0.1752  0.5819  2 Ni 2.52-2.54, 7 Zn 2.52-2.81
Zn  0.7362  0.5819  0.8248  2 Ni 2.52-2.54, 7 Zn 2.52-2.81

---

Uncorrected energy values (in eV/atom) by entry order: -4.267, -4.816, -4.381, -5.424, -2.719, -5.891, -8.790, -2.446, -7.048, -4.529, -6.236, -3.303.